Pm8PrDy2 | PBE | optimized geometry

- D(E_F): 1.647 states/eV per atom
- Total moment: 0.00 μB/atom
- E_form: 0.163 eV per atom
- Theoretical density: 7.09 Mg/m³

Cell lengths 9.1026, 9.1026, 6.7391 Å; angles 98.97, 98.97, 43.77 degrees
Atoms (fractional coordinates):
1 Pm 0.0920 0.0920 0.9117
2 Pm 0.1476 0.6740 0.5894
3 Pm 0.2561 0.2561 0.6870
4 Pm 0.3260 0.8524 0.4106
5 Pm 0.6740 0.1476 0.5894
6 Pm 0.7439 0.7439 0.3130
7 Pm 0.8524 0.3260 0.4106
8 Pm 0.9080 0.9080 0.0883
9 Pr 0.5000 0.5000 0.0000
10 Dy 0.2971 0.2971 0.1964
11 Dy 0.7029 0.7029 0.8036